VASP calculation (PBE) on an optimized crystal structure of Al2SbAu.

Values from the calculation:
Mass density   7.49 Mg/m³

Unit cell a=6.9146 b=6.9146 c=6.9146 alpha=90.00 beta=90.00 gamma=90.00
Closest atoms and distances in Å follow each position.
Space group F-43m (No. 216)
Unique sites:
Al  0.0000  0.0000  0.0000 [4 per cell]  4 Al 2.99, 4 Au 2.99
Al  0.2500  0.2500  0.2500 [4 per cell]  4 Sb 2.99, 4 Al 2.99
Sb  0.0000  0.0000  0.5000 [4 per cell]  4 Al 2.99, 4 Au 2.99
Au  0.2500  0.2500  0.7500 [4 per cell]  4 Sb 2.99, 4 Al 2.99

VASP calculation (PBE) on an optimized crystal structure of AlSb2Au.

Values from the calculation:
Mass density   8.42 Mg/m³

Unit cell a=7.1712 b=7.1712 c=7.1712 alpha=90.00 beta=90.00 gamma=90.00
Closest atoms and distances in Å follow each position.
Space group F-43m (No. 216)
Unique sites:
Al  0.0000  0.0000  0.0000 [4 per cell]  4 Sb 3.11, 4 Au 3.11
Sb  0.0000  0.0000  0.5000 [4 per cell]  4 Sb 3.11, 4 Au 3.11
Sb  0.2500  0.2500  0.7500 [4 per cell]  4 Sb 3.11, 4 Al 3.11
Au  0.2500  0.2500  0.2500 [4 per cell]  4 Sb 3.11, 4 Al 3.11

VASP calculation (PBE) on an optimized crystal structure of ScAlAu2.

Values from the calculation:
Mass density   10.81 Mg/m³

Unit cell a=6.5914 b=6.5914 c=6.5914 alpha=90.00 beta=90.00 gamma=90.00
Closest atoms and distances in Å follow each position.
Space group F-43m (No. 216)
Unique sites:
Sc  0.0000  0.0000  0.0000 [4 per cell]  4 Al 2.85, 4 Au 2.85
Al  0.2500  0.2500  0.7500 [4 per cell]  4 Sc 2.85, 4 Au 2.85
Au  0.0000  0.0000  0.5000 [4 per cell]  4 Au 2.85, 4 Al 2.85
Au  0.2500  0.2500  0.2500 [4 per cell]  4 Sc 2.85, 4 Au 2.85

VASP calculation (PBE) on an optimized crystal structure of ScAl2Au.

Values from the calculation:
Mass density   6.87 Mg/m³

Unit cell a=6.5881 b=6.5881 c=6.5881 alpha=90.00 beta=90.00 gamma=90.00
Closest atoms and distances in Å follow each position.
Space group F-43m (No. 216)
Unique sites:
Sc  0.0000  0.0000  0.0000 [4 per cell]  4 Al 2.85, 4 Au 2.85
Al  0.0000  0.0000  0.5000 [4 per cell]  4 Au 2.85, 4 Al 2.85
Al  0.2500  0.2500  0.7500 [4 per cell]  4 Sc 2.85, 4 Al 2.85
Au  0.2500  0.2500  0.2500 [4 per cell]  4 Sc 2.85, 4 Al 2.85

VASP calculation (PBE) on an optimized crystal structure of ScAlAu2.

Values from the calculation:
Mass density   10.44 Mg/m³

Unit cell a=7.4013 b=7.1621 c=5.5915 alpha=90.00 beta=90.00 gamma=90.00
Closest atoms and distances in Å follow each position.
Space group Pnma (No. 62)
Unique sites:
Sc  0.0382  0.2500  0.1534 [4 per cell]  8 Au 2.94-3.23, 3 Al 2.96-3.13
Al  0.1055  0.7500  0.3521 [4 per cell]  6 Au 2.57-2.66
Au  0.1920  0.0472  0.5837 [8 per cell]  3 Al 2.57-2.66

VASP calculation (PBE) on an optimized crystal structure of Sc2Al2Au.

Values from the calculation:
Mass density   5.41 Mg/m³

Unit cell a=3.6182 b=3.6182 c=15.9678 alpha=90.00 beta=90.00 gamma=90.00
Closest atoms and distances in Å follow each position.
Space group I4/mmm (No. 139)
Unique sites:
Sc  0.0000  0.0000  0.0978 [4 per cell]  4 Au 3.00, 4 Al 3.03, 1 Sc 3.12
Al  0.0000  0.5000  0.2500 [4 per cell]  4 Al 2.56
Au  0.0000  0.0000  0.5000 [2 per cell]  8 Sc 3.00

Number 1: VASP energy -0.130 Ha/atom. Number 2: VASP energy -0.132 Ha/atom. Number 3: VASP energy -0.171 Ha/atom. Number 4: VASP energy -0.172 Ha/atom. Number 5: VASP energy -0.177 Ha/atom. Number 6: VASP energy -0.180 Ha/atom.